1.
This record from Alexandria describes an optimized crystal structure of Y2Cl2O. The functional is PBE.

abc: 19.970 3.837 6.721
angles: 90.00 95.86 90.00
Space group C2/m (No. 12)
Symmetry-distinct sites (fractional):
Y  0.177  0.000  0.383 (multiplicity 4)
Y  0.180  0.500  0.904 (multiplicity 4)
Cl  0.089  0.500  0.202 (multiplicity 4)
Cl  0.095  0.000  0.692 (multiplicity 4)
O  0.207  0.000  0.072 (multiplicity 4)

Formation energy from raw total energies (eV per atom): -2.425
E_tot (eV per atom): -6.74
Polymorph energy (0 for the lowest one) (meV per atom): 0

=====

2.
This record from Alexandria describes an optimized crystal structure of Co2TcPt. The functional is PBE.

abc: 2.6778 2.6778 25.5682
angles: 90.00 90.00 120.00
Space group R3m (No. 160, hexagonal axes)
Symmetry-distinct sites (fractional):
Co  0.0000  0.0000  0.0000 (multiplicity 3)
Co  0.0000  0.0000  0.2583 (multiplicity 3)
Tc  0.0000  0.0000  0.5110 (multiplicity 3)
Pt  0.0000  0.0000  0.7527 (multiplicity 3)

E_tot (eV per atom): -7.58
Polymorph energy (0 for the lowest one) (meV per atom): 92

=====

3.
This record from Alexandria describes an optimized crystal structure of PaGa2O6. The functional is PBE.

abc: 10.030 10.230 6.151
angles: 90.00 115.11 90.00
Space group C2/c (No. 15)
Symmetry-distinct sites (fractional):
Pa  0.000  0.100  0.250 (multiplicity 4)
Ga  0.163  0.415  0.194 (multiplicity 8)
O  0.105  0.480  0.425 (multiplicity 8)
O  0.128  0.240  0.189 (multiplicity 8)
O  0.129  0.053  0.648 (multiplicity 8)

Formation energy from raw total energies (eV per atom): -2.212
E_tot (eV per atom): -7.25

=====

4.
This record from Alexandria describes an optimized crystal structure of ZrTiTc. The functional is PBE.

abc: 7.648 4.415 4.415
angles: 90.00 125.18 90.00
Space group Cm (No. 8)
Symmetry-distinct sites (fractional):
Zr  0.000  0.000  0.000 (multiplicity 2)
Ti  0.000  0.500  0.500 (multiplicity 2)
Tc  0.250  0.500  0.250 (multiplicity 2)

E_tot (eV per atom): -8.85
Polymorph energy (0 for the lowest one) (meV per atom): 429

=====

5.
This record from Alexandria describes an optimized crystal structure of RbGe3Pd. The functional is PBE.

abc: 5.476 5.476 5.476
angles: 90.00 90.00 90.00
Space group Pm-3m (No. 221)
Symmetry-distinct sites (fractional):
Rb  0.000  0.000  0.000 (multiplicity 1)
Ge  0.000  0.000  0.500 (multiplicity 3)
Pd  0.500  0.500  0.500 (multiplicity 1)

E_tot (eV per atom): -2.06
Polymorph energy (0 for the lowest one) (meV per atom): 1678

=====

6.
This record from Alexandria describes an optimized crystal structure of AcNd2UO8. The functional is PBE.

abc: 4.022 7.929 5.548
angles: 90.00 90.14 90.00
Space group P2/m (No. 10)
Symmetry-distinct sites (fractional):
Ac  0.000  0.000  0.000 (multiplicity 1)
Nd  0.500  0.266  0.500 (multiplicity 2)
U  0.000  0.500  0.000 (multiplicity 1)
O  0.001  0.287  0.762 (multiplicity 4)
O  0.498  0.500  0.222 (multiplicity 2)
O  0.500  0.000  0.273 (multiplicity 2)

Formation energy from raw total energies (eV per atom): -3.183
E_tot (eV per atom): -8.57

=====

7.
This record from Alexandria describes an optimized crystal structure of Dy2Al3Tc. The functional is PBE.

abc: 5.5121 5.5121 8.9274
angles: 90.00 90.00 120.00
Space group P6_3/mmc (No. 194)
Symmetry-distinct sites (fractional):
Dy  0.3333  0.6667  0.0520 (multiplicity 4)
Al  0.1622  0.3244  0.7500 (multiplicity 6)
Tc  0.0000  0.0000  0.0000 (multiplicity 2)

E_tot (eV per atom): -5.65
Polymorph energy (0 for the lowest one) (meV per atom): 0

=====

8.
This record from Alexandria describes an optimized crystal structure of Hg5Rh. The functional is PBE.

abc: 10.051 3.082 9.751
angles: 90.00 103.00 90.00
Space group Cm (No. 8)
Symmetry-distinct sites (fractional):
Hg  0.000  0.000  0.000 (multiplicity 2)
Hg  0.092  0.000  0.406 (multiplicity 2)
Hg  0.200  0.500  0.813 (multiplicity 2)
Hg  0.300  0.000  0.166 (multiplicity 2)
Hg  0.407  0.000  0.646 (multiplicity 2)
Rh  0.323  0.500  0.406 (multiplicity 2)

E_tot (eV per atom): -1.36
Polymorph energy (0 for the lowest one) (meV per atom): 0

=====

9.
This record from Alexandria describes an optimized crystal structure of AlHgCl. The functional is PBE.

abc: 4.0986 4.0986 6.1687
angles: 90.00 90.00 120.00
Space group P3m1 (No. 156)
Symmetry-distinct sites (fractional):
Al  0.0000  0.0000  0.0000 (multiplicity 1)
Hg  0.6667  0.3333  0.7257 (multiplicity 1)
Cl  0.3333  0.6667  0.2142 (multiplicity 1)

Formation energy from raw total energies (eV per atom): -0.270
E_tot (eV per atom): -2.23
Polymorph energy (0 for the lowest one) (meV per atom): 20

=====

10.
This record from Alexandria describes an optimized crystal structure of V2NiS5. The functional is PBE.

abc: 4.242 12.001 12.157
angles: 90.00 90.00 90.00
Space group Fmmm (No. 69)
Symmetry-distinct sites (fractional):
V  0.000  0.000  0.187 (multiplicity 8)
Ni  0.000  0.000  0.500 (multiplicity 4)
S  0.000  0.000  0.000 (multiplicity 4)
S  0.000  0.120  0.340 (multiplicity 16)

Formation energy from raw total energies (eV per atom): -0.467
E_tot (eV per atom): -6.05

=====

11.
This record from Alexandria describes an optimized crystal structure of BaMnH6Pd. The functional is PBE.

abc: 4.9109 4.9109 4.8822
angles: 90.00 90.00 120.00
Space group P-6m2 (No. 187)
Symmetry-distinct sites (fractional):
Ba  0.0000  0.0000  0.0000 (multiplicity 1)
Mn  0.3333  0.6667  0.5000 (multiplicity 1)
H  0.0193  0.5097  0.2798 (multiplicity 6)
Pd  0.6667  0.3333  0.5000 (multiplicity 1)

E_tot (eV per atom): -4.30

=====

12.
This record from Alexandria describes an optimized crystal structure of La3Ga2H. The functional is PBE.

abc: 13.339 6.543 7.042
angles: 90.00 101.29 90.00
Space group C2/c (No. 15)
Symmetry-distinct sites (fractional):
La  0.000  0.070  0.250 (multiplicity 4)
La  0.140  0.390  0.606 (multiplicity 8)
Ga  0.176  0.140  0.045 (multiplicity 8)
H  0.000  0.441  0.250 (multiplicity 4)

E_tot (eV per atom): -4.50

=====

13.
This record from Alexandria describes an optimized crystal structure of Ac2DyOsO8. The functional is PBE.

abc: 4.958 5.464 7.129
angles: 90.33 91.50 92.37
Space group P-1 (No. 2)
Symmetry-distinct sites (fractional):
Ac  0.068  0.031  0.256 (multiplicity 2)
Dy  0.500  0.500  0.000 (multiplicity 1)
Os  0.500  0.500  0.500 (multiplicity 1)
O  0.174  0.218  0.974 (multiplicity 2)
O  0.195  0.306  0.536 (multiplicity 2)
O  0.332  0.657  0.284 (multiplicity 2)
O  0.390  0.731  0.699 (multiplicity 2)

Formation energy from raw total energies (eV per atom): -2.415
E_tot (eV per atom): -7.72

=====

14.
This record from Alexandria describes an optimized crystal structure of Ca2CdCo. The functional is PBE.

abc: 5.004 5.013 7.704
angles: 90.00 90.00 90.00
Space group Cmmm (No. 65)
Symmetry-distinct sites (fractional):
Ca  0.000  0.000  0.214 (multiplicity 4)
Cd  0.000  0.500  0.500 (multiplicity 2)
Co  0.000  0.500  0.000 (multiplicity 2)

E_tot (eV per atom): -2.93

=====

15.
This record from Alexandria describes an optimized crystal structure of Rb2NbI6N. The functional is PBE.

abc: 9.049 9.049 9.838
angles: 90.00 90.00 90.00
Space group I4/mmm (No. 139)
Symmetry-distinct sites (fractional):
Rb  0.000  0.500  0.250 (multiplicity 4)
Nb  0.000  0.000  0.000 (multiplicity 2)
I  0.000  0.000  0.279 (multiplicity 4)
I  0.224  0.224  0.000 (multiplicity 8)
N  0.000  0.000  0.500 (multiplicity 2)

Formation energy from raw total energies (eV per atom): -0.247
E_tot (eV per atom): -3.21

=====

16.
This record from Alexandria describes an optimized crystal structure of Li3HoAg3. The functional is PBE.

abc: 6.731 6.731 6.731
angles: 90.00 90.00 90.00
Space group Pm-3n (No. 223)
Symmetry-distinct sites (fractional):
Li  0.000  0.250  0.500 (multiplicity 6)
Ho  0.000  0.000  0.000 (multiplicity 2)
Ag  0.000  0.500  0.250 (multiplicity 6)

E_tot (eV per atom): -2.45

=====

17.
This record from Alexandria describes an optimized crystal structure of Pr6Tl3Ga. The functional is PBE.

abc: 11.969 3.812 14.690
angles: 90.00 106.49 90.00
Space group P2_1/m (No. 11)
Symmetry-distinct sites (fractional):
Pr  0.005  0.250  0.175 (multiplicity 2)
Pr  0.106  0.750  0.415 (multiplicity 2)
Pr  0.250  0.250  0.832 (multiplicity 2)
Pr  0.327  0.250  0.260 (multiplicity 2)
Pr  0.365  0.250  0.638 (multiplicity 2)
Pr  0.383  0.750  0.043 (multiplicity 2)
Tl  0.125  0.750  0.642 (multiplicity 2)
Tl  0.143  0.250  0.018 (multiplicity 2)
Tl  0.392  0.750  0.454 (multiplicity 2)
Ga  0.458  0.750  0.819 (multiplicity 2)

E_tot (eV per atom): -4.13

=====

18.
This record from Alexandria describes an optimized crystal structure of Ce2Pd2Au. The functional is PBE.

abc: 7.666 7.666 3.822
angles: 90.00 90.00 90.00
Space group P4/mbm (No. 127)
Symmetry-distinct sites (fractional):
Ce  0.176  0.324  0.000 (multiplicity 4)
Pd  0.129  0.629  0.500 (multiplicity 4)
Au  0.000  0.000  0.500 (multiplicity 2)

E_tot (eV per atom): -5.83

=====

19.
This record from Alexandria describes an optimized crystal structure of SiTc2Ni. The functional is PBE.

abc: 3.113 4.109 4.130
angles: 90.00 90.00 90.00
Space group Pmmm (No. 47)
Symmetry-distinct sites (fractional):
Si  0.000  0.000  0.000 (multiplicity 1)
Tc  0.000  0.500  0.500 (multiplicity 1)
Tc  0.500  0.500  0.000 (multiplicity 1)
Ni  0.500  0.000  0.500 (multiplicity 1)

Formation energy from raw total energies (eV per atom): -0.031
E_tot (eV per atom): -8.02

=====

20.
This record from Alexandria describes an optimized crystal structure of Pm3Ge3Pb. The functional is PBE.

abc: 8.8982 8.8982 5.8802
angles: 90.00 90.00 120.00
Space group P6_3/m (No. 176)
Symmetry-distinct sites (fractional):
Pm  0.0749  0.3898  0.2500 (multiplicity 6)
Ge  0.0565  0.3313  0.7500 (multiplicity 6)
Pb  0.3333  0.6667  0.7500 (multiplicity 2)

E_tot (eV per atom): -5.06